The following is a PBE calculation of GdYTl2 after structural relaxation, from Alexandria via LeMat-Bulk.

Results
The crystal system is tetragonal. Its space group is P4/mmm (123). The calculation puts the excess energy over the best structure of this formula in the dataset at 0 meV/atom. The energy of formation is -0.390 eV per atom. For the volume, the calculation gives 27.620 A^3/atom.

a = 3.6139 Å, b = 3.6139 Å, c = 8.4595 Å
α = 90.00°, β = 90.00°, γ = 90.00°
Atoms (fractional coordinates):
Tl  0.0000  0.0000  0.7520
Tl  0.0000  0.0000  0.2480
Gd  0.5000  0.5000  0.5000
Y  0.5000  0.5000  0.0000